[1]
RbSi3Pt4 PBE optimized geometry; ΔE_f (raw) = -0.558 eV per atom; spin magnetization = 0.000 μB/cell
1.0
3.961 0.000 0.000
0.000 3.961 0.000
0.000 0.000 10.394
Rb Si Pt
1 3 4
Cartesian
0.000 0.000 5.197
1.981 1.981 7.426
0.000 0.000 0.000
1.981 1.981 2.968
0.000 1.981 1.542
0.000 1.981 8.852
1.981 0.000 8.852
1.981 0.000 1.542

---

[2]
CaHo2Pt PBE optimized geometry; offset from the most stable computed form = 4.0 meV per atom; formation energy from the elements = -0.58 eV per atom; spin magnetization = 0.000 μB/cell
1.0
3.526 0.000 0.000
0.000 3.526 0.000
0.000 0.000 9.345
Ho Ca Pt
2 1 1
Cartesian
0.000 0.000 1.639
0.000 0.000 7.706
1.763 1.763 4.672
1.763 1.763 0.000

---

[3]
BaLiRe2 PBE optimized geometry; offset from the most stable computed form = 500.7 meV per atom; formation energy from the elements = 1.01 eV per atom; spin magnetization = 0.000 μB/cell
1.0
3.219 0.000 0.000
0.000 4.354 0.000
0.000 0.000 5.528
Li Re Ba
1 2 1
Cartesian
0.000 2.177 2.764
0.000 0.000 0.000
1.609 2.177 0.000
1.609 0.000 2.764

---

[4]
Tb3Ga4Pd PBE optimized geometry; formation energy from the elements = -0.46 eV per atom; spin magnetization = 0.000 μB/cell
1.0
-3.234 -0.338 1.583
2.756 -1.986 5.206
0.745 8.894 -0.712
Pd Tb Ga
1 3 4
Cartesian
-1.617 -0.169 0.792
1.378 -0.993 2.603
0.042 3.129 4.883
0.225 3.442 1.194
-0.262 6.379 0.825
-0.769 1.127 2.800
1.036 5.444 3.277
0.529 0.191 5.252

---

[5]
Dy4YSc3 PBE optimized geometry; offset from the most stable computed form = 0.0 meV per atom; formation energy from the elements = 0.03 eV per atom; spin magnetization = 0.001 μB/cell
1.0
-4.086 4.255 -1.475
-2.797 -0.457 6.428
6.814 7.763 3.516
Sc Dy Y
6 8 2
Cartesian
-4.393 2.487 3.022
-4.031 5.836 3.420
2.090 7.700 4.375
-1.329 3.806 2.611
-0.635 9.705 5.172
1.726 4.350 3.981
-2.640 6.103 0.292
0.747 7.520 7.530
0.438 6.535 1.654
0.373 4.116 7.122
-2.995 0.189 5.388
0.693 9.900 2.012
-3.016 2.698 -0.110
-2.734 3.555 5.733
-1.689 0.473 2.229
-0.987 6.374 4.771

---

[6]
LuSc2Te PBE optimized geometry; offset from the most stable computed form = 400.1 meV per atom; ΔE_f (raw) = -0.092 eV per atom; spin magnetization = 1.058 μB/cell
1.0
3.651 0.000 0.000
1.826 3.162 0.000
1.826 1.054 9.971
Lu Sc Te
1 2 1
Cartesian
0.000 0.000 0.000
1.826 1.054 6.937
5.477 3.162 3.035
3.651 2.108 4.986

---

[7]
ErZr3Zn8 PBE optimized geometry; offset from the most stable computed form = 9.9 meV per atom; formation energy from the elements = -0.27 eV per atom; spin magnetization = 2.484 μB/cell
1.0
-0.321 0.546 -5.287
3.353 -3.557 2.111
-6.117 -5.908 -0.239
Zn Er Zr
8 1 3
Cartesian
1.243 -4.349 0.847
-0.472 -2.530 -0.233
-3.115 -5.934 -1.812
1.079 -4.070 -1.858
-0.918 -5.132 -0.474
-3.270 -5.671 -4.362
-3.982 -8.091 -0.594
-4.733 -4.218 -2.830
-3.462 -3.344 -0.135
-5.773 -5.576 -0.226
-1.696 -3.333 -2.923
0.503 -1.209 -2.837

---

[8]
CdN3O PBE optimized geometry; ΔE_f (raw) = 2.520 eV per atom; spin magnetization = 2.825 μB/cell
1.0
3.677 0.000 0.000
0.000 3.677 0.000
0.000 0.000 3.677
N O Cd
3 1 1
Cartesian
1.838 0.000 0.000
0.000 1.838 0.000
0.000 0.000 1.838
0.000 0.000 0.000
1.838 1.838 1.838

---

[9]
BeVIr2 PBE optimized geometry; formation energy from the elements = -0.43 eV per atom; spin magnetization = 0.083 μB/cell
1.0
3.063 0.000 0.000
0.000 4.081 0.000
0.000 0.000 4.081
V Ir Be
1 2 1
Cartesian
1.531 2.040 2.040
0.000 2.040 0.000
0.000 0.000 2.040
1.531 0.000 0.000

---

[10]
TbDy2Ga9 PBE optimized geometry; formation energy from the elements = -0.54 eV per atom; spin magnetization = 0.000 μB/cell
1.0
4.276 0.000 0.000
0.000 4.276 0.000
0.000 0.000 12.828
Ga Tb Dy
9 1 2
Cartesian
2.138 0.000 10.682
2.138 0.000 2.145
0.000 2.138 10.682
2.138 2.138 0.000
2.138 2.138 8.551
0.000 2.138 2.145
0.000 2.138 6.414
2.138 0.000 6.414
2.138 2.138 4.277
0.000 0.000 0.000
0.000 0.000 8.548
0.000 0.000 4.279

---

[11]
CsZr2BeTc PBE optimized geometry; formation energy from the elements = 2.53 eV per atom; spin magnetization = 0.000 μB/cell
1.0
5.188 0.000 0.000
0.000 4.824 0.000
0.000 0.000 5.188
Zr Tc Be Cs
2 1 1 1
Cartesian
2.594 0.000 0.000
0.000 0.000 2.594
0.000 2.412 0.000
2.594 2.412 2.594
0.000 0.000 0.000

---

[12]
PrDy2ErSc PBE optimized geometry; formation energy from the elements = 0.33 eV per atom; spin magnetization = 0.000 μB/cell
1.0
-0.905 2.686 6.530
-1.954 -7.438 2.789
6.393 2.730 -0.237
Dy Er Sc Pr
4 2 2 2
Cartesian
-0.590 -2.246 0.842
-1.817 -3.849 5.212
-1.043 -0.903 4.107
-1.364 -5.192 1.946
0.882 -2.168 6.834
2.652 0.146 2.248
-0.607 2.002 4.913
4.141 -4.023 4.169
2.267 1.477 5.527
1.267 -3.498 3.555

---

[13]
DyHo6Tm3 PBE optimized geometry; offset from the most stable computed form = 0.0 meV per atom; formation energy from the elements = 0.13 eV per atom; spin magnetization = 0.000 μB/cell
1.0
-0.017 4.324 -4.572
-9.075 -5.002 -4.697
0.673 8.253 7.803
Ho Dy Tm
12 2 6
Cartesian
-5.151 5.468 0.259
-6.307 1.723 1.052
-2.105 4.290 -0.867
-4.867 1.725 -5.518
-7.835 2.873 -4.422
-2.273 7.659 0.452
-6.146 0.220 -2.239
-3.261 0.545 -0.074
-8.931 -3.420 -5.963
-0.587 5.372 2.246
-3.554 6.520 3.343
0.510 11.589 3.867
-7.510 -0.637 -5.033
-0.900 6.177 5.718
-2.658 0.993 -3.289
-3.412 3.109 2.135
-0.207 6.498 -2.421
-5.769 8.650 -0.365
-8.220 3.145 -1.233
-5.002 3.120 -2.179

---

[14]
YReSb2N PBE optimized geometry; ΔE_f (raw) = 0.375 eV per atom; spin magnetization = 0.348 μB/cell
1.0
-4.212 -0.047 -1.924
-0.010 -4.477 0.131
-1.925 0.128 4.210
N Y Sb Re
1 1 2 1
Cartesian
0.000 0.000 0.000
-0.005 -2.239 0.066
-2.106 -0.023 -0.962
-0.962 0.064 2.105
-3.073 -2.198 1.208

---

[15]
Dy4Ho3ScS8 PBE optimized geometry; ΔE_f (raw) = -1.959 eV per atom; spin magnetization = 0.000 μB/cell
1.0
7.745 0.000 0.000
0.000 7.752 0.000
-3.873 -3.869 5.480
S Ho Dy Sc
8 3 4 1
Cartesian
3.873 3.869 2.732
1.973 1.899 5.472
1.900 1.985 0.007
-1.973 1.899 5.472
3.873 0.014 2.799
5.846 1.985 0.007
0.000 3.869 2.681
0.000 0.015 2.747
3.873 3.876 0.000
-1.936 1.942 2.740
1.936 1.942 2.740
0.000 0.000 0.000
-1.936 -1.934 2.740
1.936 -1.934 2.740
3.873 0.000 0.000
0.000 3.876 0.000

---

[16]
Pm15NdSm4 PBE optimized geometry; formation energy from the elements = 0.01 eV per atom; spin magnetization = 0.000 μB/cell
1.0
5.160 0.000 0.000
0.000 5.160 0.000
0.000 0.000 25.776
Pm Sm Nd
15 4 1
Cartesian
2.580 2.580 20.612
2.580 0.000 18.040
2.580 0.000 12.888
2.580 2.580 10.311
2.580 2.580 0.000
0.000 2.580 7.736
2.580 2.580 15.466
2.580 0.000 2.589
2.580 0.000 23.188
2.580 0.000 7.736
2.580 2.580 5.165
0.000 2.580 2.589
0.000 2.580 23.188
0.000 2.580 12.888
0.000 2.580 18.040
0.000 0.000 20.615
0.000 0.000 15.465
0.000 0.000 5.161
0.000 0.000 10.311
0.000 0.000 0.000

---

[17]
MnInS3 PBE optimized geometry; offset from the most stable computed form = 0.0 meV per atom; ΔE_f (raw) = -0.452 eV per atom; spin magnetization = 8.000 μB/cell
1.0
3.676 0.000 0.000
0.000 6.346 -0.549
0.000 -3.641 10.306
S In Mn
6 2 2
Cartesian
0.919 -2.773 9.187
2.757 5.478 0.570
0.919 -0.530 4.197
0.919 0.622 7.973
2.757 2.084 1.784
2.757 3.236 5.560
0.919 -1.543 6.736
2.757 4.249 3.021
2.757 2.082 8.252
0.919 0.623 1.505

---

[18]
LiPuCO5 PBE optimized geometry; ΔE_f (raw) = -1.972 eV per atom; spin magnetization = 6.000 μB/cell
1.0
-5.071 -1.306 1.323
1.929 -0.255 5.038
0.074 7.338 -2.217
O C Pu Li
10 2 2 2
Cartesian
1.203 1.468 4.089
-1.393 0.399 1.650
-0.655 4.173 0.914
-4.270 4.309 0.056
-2.413 1.604 3.231
-3.524 -0.178 2.292
0.456 5.954 1.852
-1.674 5.378 2.494
-3.160 1.748 1.061
0.092 4.028 3.084
-0.418 4.887 2.101
-2.650 0.889 2.044
0.037 3.669 -1.108
0.000 0.000 0.000
-0.483 1.215 3.194
-2.585 4.562 0.950

---

[19]
VNi6P PBE optimized geometry; formation energy from the elements = 0.15 eV per atom; spin magnetization = 0.012 μB/cell
1.0
4.731 0.000 0.000
2.365 4.097 0.000
2.365 1.366 5.706
Ni P V
6 1 1
Cartesian
1.202 0.694 1.671
5.933 4.768 4.035
7.096 2.754 4.035
3.529 0.694 1.671
2.365 2.709 1.671
8.259 4.768 4.035
0.000 0.000 0.000
4.731 2.731 2.853

---

[20]
SnH16C4N2Cl6 PBE optimized geometry; E_tot = -272.33 eV for the cell shown; spin magnetization = 0.000 μB/cell
1.0
-0.768 -6.076 4.171
6.014 2.469 4.704
-9.221 6.805 8.217
Cl C H Sn N
12 8 32 2 4
Cartesian
4.141 0.981 5.358
-2.782 7.860 10.939
-0.424 1.414 1.982
-1.644 1.020 10.933
-4.329 2.226 9.028
-2.700 -0.746 8.165
-2.330 2.177 6.158
-7.717 5.370 9.569
-8.115 2.217 11.734
0.354 0.971 8.063
-1.275 3.944 8.927
3.742 -2.173 7.522
1.866 4.580 7.017
-2.055 4.469 12.715
-1.919 -1.272 4.376
-4.482 4.389 12.152
0.507 -1.192 4.939
1.035 3.323 5.032
-4.242 5.951 7.889
-5.072 4.693 5.904
1.780 -0.926 10.551
-0.481 -2.734 3.973
-3.493 5.931 13.119
1.481 -1.551 4.595
-7.368 2.413 8.741
-4.926 5.389 8.533
-1.956 -0.178 4.375
-6.337 -0.483 9.702
-4.455 3.296 12.157
0.951 -2.191 8.559
0.116 3.071 4.496
-2.142 -1.644 5.382
1.518 5.196 7.851
-5.508 0.779 11.697
-3.391 4.248 7.026
-3.988 -0.479 10.271
-2.018 3.375 12.717
2.363 3.680 7.389
-5.755 4.123 6.541
0.294 -1.569 5.944
-0.311 -1.384 3.047
3.394 0.784 8.350
-5.455 4.748 12.496
-4.269 4.766 11.148
0.480 -0.099 4.935
-4.725 4.077 5.070
-1.833 4.841 11.710
0.013 3.677 6.821
-0.584 -1.050 10.065
1.534 2.419 5.395
-3.664 4.581 14.045
-3.323 6.203 8.425
-1.987 1.599 8.546
0.000 0.000 0.000
-0.540 -1.699 4.008
-3.435 4.896 13.083
0.685 4.173 6.206
-3.891 5.101 6.715